The following is a GGA+U calculation of a relaxed structure of GdCoNO, from the Open Quantum Materials Database.

Results
Its offset from the most stable computed form is 0.1493 eV/atom.

abc: 4.7971 4.7971 4.3960
angles: 90.00 90.00 90.00
Each line ends with the local moment (μB).
Sites, in units of the cell vectors:
1 Co 0.0000 0.5000 0.0010  2.54
2 Co 0.5000 0.0000 0.9990  2.54
3 Gd 0.0000 0.0000 0.5000  0.01
4 Gd 0.5000 0.5000 0.5000  0.01
5 N 0.0000 0.5000 0.4993  0.23
6 N 0.5000 0.0000 0.5007  0.23
7 O 0.0000 0.0000 0.0000  0.12
8 O 0.5000 0.5000 0.0000  0.12